Mn4PCl | PBE | relaxed

The energy relative to the elements, uncorrected comes out at 4.1 eV per formula unit. The total DFT energy (no corrections) is -159.477 eV/cell.

The structure belongs to space group F-43m (No. 216); the cell edges are 7.0913, 7.0913 and 7.0913 Å and the angles 90.00°, 90.00° and 90.00°. The asymmetric unit holds Mn at (0.1234, 0.1234, 0.1234), P at (0.2500, 0.2500, 0.7500) and Cl at (0.0000, 0.0000, 0.5000).



Ho3Er2TmS6 | PBE | relaxed

The energy relative to the elements, uncorrected comes out at -23.5 eV per formula unit. The total DFT energy (no corrections) is -151.240 eV/cell.

The structure belongs to space group C2/m (No. 12); the cell edges are 16.8538, 3.8622 and 7.7673 Å and the angles 90.00°, 103.51° and 90.00°. The asymmetric unit holds Ho at (0.0000, 0.0000, 0.0000), Ho at (0.1670, 0.5000, 0.3331), Er at (0.1668, 0.5000, 0.8336), Tm at (0.0000, 0.0000, 0.5000), S at (0.9997, 0.5000, 0.2528), S at (0.1656, 0.0000, 0.5840) and S at (0.1670, 0.0000, 0.0821).



Zr2Cd2Ga | PBE | relaxed

As for the energy above the most stable polymorph in this dataset: 0.00 eV per formula unit. The value obtained for the formation energy from the elements is -0.02 eV/atom. The total DFT energy (no corrections) is -44.060 eV/cell.

The structure belongs to space group P4/mbm (No. 127); the cell edges are 6.9150, 6.9150 and 4.4895 Å and the angles 90.00°, 90.00° and 90.00°. The asymmetric unit holds Zr at (0.1652, 0.3348, 0.0000), Cd at (0.1390, 0.6390, 0.5000) and Ga at (0.0000, 0.0000, 0.5000).



NaLi2Gd | PBE | relaxed

As for the energy above the most stable polymorph in this dataset: 0.00 eV per formula unit. The value obtained for the formation energy from the elements is 0.13 eV/atom. The total DFT energy (no corrections) is -18.709 eV/cell.

The structure belongs to space group P4/mmm (No. 123); the cell edges are 3.2724, 3.2724 and 10.1889 Å and the angles 90.00°, 90.00° and 90.00°. The asymmetric unit holds Na at (0.0000, 0.0000, 0.0000), Li at (0.5000, 0.5000, 0.2493) and Gd at (0.0000, 0.0000, 0.5000).



ZrGa2W | PBE | relaxed

As for the energy above the most stable polymorph in this dataset: 1.12 eV per formula unit. The value obtained for the formation energy from the elements is 0.29 eV/atom. The total DFT energy (no corrections) is -105.527 eV/cell.

The structure belongs to space group I-42d (No. 122); the cell edges are 3.9769, 3.9769 and 19.3296 Å and the angles 90.00°, 90.00° and 90.00°. The asymmetric unit holds Zr at (0.0000, 0.0000, 0.0000), Ga at (0.2217, 0.2500, 0.6250) and W at (0.0000, 0.0000, 0.5000).



Pr2Nd3SmHo6 | PBE | relaxed

The value obtained for the formation energy from the elements is 0.01 eV/atom. The total DFT energy (no corrections) is -111.796 eV/cell.

The structure belongs to space group C2/m (No. 12); the cell edges are 6.2608, 10.8424 and 11.8256 Å and the angles 90.00°, 100.13° and 90.00°. The asymmetric unit holds Pr at (0.0000, 0.1666, 0.0000), Nd at (0.0000, 0.0000, 0.5000), Nd at (0.0000, 0.3333, 0.5000), Sm at (0.0000, 0.5000, 0.0000), Ho at (0.2495, 0.5000, 0.7498) and Ho at (0.2501, 0.1665, 0.7498).



Th2B12Ir3Ru | PBE | relaxed

The value obtained for the formation energy from the elements is -0.01 eV/atom. The total DFT energy (no corrections) is -393.083 eV/cell.

The structure belongs to space group R-3m (No. 166, hexagonal axes); the cell edges are 5.7830, 5.7830 and 22.5050 Å and the angles 90.00°, 90.00° and 120.00°. The asymmetric unit holds Th at (0.0000, 0.0000, 0.1355), B at (0.0472, 0.5236, 0.0990), B at (0.1020, 0.2039, 0.7416), Ir at (0.0000, 0.5000, 0.0000) and Ru at (0.0000, 0.0000, 0.5000).



Mn3Pd3Pt | PBE | relaxed

The value obtained for the formation energy from the elements is -0.13 eV/atom. The total DFT energy (no corrections) is -200.077 eV/cell.

The structure belongs to space group Cmmm (No. 65); the cell edges are 8.6080, 8.6723 and 6.0143 Å and the angles 90.00°, 90.00° and 90.00°. The asymmetric unit holds Mn at (0.0000, 0.0000, 0.2474), Mn at (0.2500, 0.2500, 0.2486), Pd at (0.0000, 0.2630, 0.5000), Pd at (0.2215, 0.5000, 0.0000), Pd at (0.2362, 0.5000, 0.5000) and Pt at (0.0000, 0.2546, 0.0000).